[1]
Density functional theory data (GGA-PBE) for a relaxed Fe7Pt3Rh crystal.

## Properties
- E_form (kJ/mol of atoms) = 6.5
- magnetization (Bohr magnetons per cell) = 42.86

Unit cell a=2.658 b=9.981 c=12.031 alpha=90.00 beta=90.00 gamma=97.65
Sites, in units of the cell vectors:
Fe1 0.532 0.064 0.085
Fe2 0.468 0.936 0.915
Fe3 0.275 0.550 0.413
Fe4 0.275 0.550 0.087
Fe5 0.594 0.188 0.601
Rh1 0.980 0.960 0.250
Pt1 0.168 0.337 0.750
Pt2 0.852 0.704 0.931
Fe6 0.594 0.188 0.899
Pt3 0.852 0.704 0.569
Fe7 0.406 0.812 0.399
Fe8 0.468 0.936 0.585
Fe9 0.391 0.782 0.750
Fe10 0.406 0.812 0.101
Rh2 0.020 0.040 0.750
Pt4 0.148 0.296 0.069
Pt5 0.832 0.663 0.250
Fe11 0.725 0.450 0.587
Fe12 0.609 0.218 0.250
Fe13 0.532 0.064 0.415
Pt6 0.148 0.296 0.431
Fe14 0.725 0.450 0.913

=====

[2]
Density functional theory data (GGA-PBE) for a relaxed CuBI4 crystal.

## Properties
- formation energy from raw total energies (meV per atom) = -29
- magnetization (Bohr magnetons per cell) = 0.00
- polymorph energy (0 for the lowest one) (eV/atom) = 0.0000

Unit cell a=6.574 b=6.573 c=12.429 alpha=90.00 beta=90.00 gamma=90.00
Sites, in units of the cell vectors:
Cu1 0.000 0.000 0.000
I1 0.791 0.806 0.603
B1 0.000 0.500 0.000
I2 0.791 0.194 0.397
I3 0.194 0.709 0.897
Cu2 0.500 0.000 0.500
I4 0.209 0.194 0.603
I5 0.806 0.709 0.103
I6 0.194 0.291 0.103
B2 0.000 0.000 0.500
I7 0.806 0.291 0.897
I8 0.209 0.806 0.397

=====

[3]
Density functional theory data (GGA-PBE) for a relaxed NaIrRu crystal.

## Properties
- E_form (kJ/mol of atoms) = 32.2
- magnetization (Bohr magnetons per cell) = 0.00
- polymorph energy (0 for the lowest one) (eV/atom) = 0.0000

Unit cell a=7.443 b=4.208 c=6.937 alpha=90.00 beta=90.00 gamma=90.00
Sites, in units of the cell vectors:
Na1 0.500 0.750 0.348
Na2 0.000 0.750 0.152
Ru1 0.161 0.750 0.593
Ru2 0.661 0.750 0.907
Ir1 0.835 0.750 0.597
Ir2 0.165 0.250 0.403
Na3 0.500 0.250 0.652
Na4 0.000 0.250 0.848
Ru3 0.339 0.250 0.093
Ir3 0.335 0.750 0.903
Ir4 0.665 0.250 0.097
Ru4 0.839 0.250 0.407

=====

[4]
Density functional theory data (GGA-PBE) for a relaxed Ba2TlFe crystal.

## Properties
- E_form (kJ/mol of atoms) = 28.6
- magnetization (Bohr magnetons per cell) = 2.52

Unit cell a=3.961 b=3.963 c=8.973 alpha=90.00 beta=90.00 gamma=90.00
Sites, in units of the cell vectors:
Ba1 0.000 0.000 0.473
Tl1 0.500 0.500 0.750
Ba2 0.000 0.000 0.027
Fe1 0.500 0.500 0.250

=====

[5]
Density functional theory data (GGA-PBE) for a relaxed RbTc2O8 crystal.

## Properties
- formation energy from raw total energies (meV per atom) = -618
- magnetization (Bohr magnetons per cell) = 3.32
- polymorph energy (0 for the lowest one) (eV/atom) = 0.6808

Unit cell a=4.714 b=4.714 c=7.204 alpha=90.00 beta=90.00 gamma=90.00
Sites, in units of the cell vectors:
O1 0.750 0.250 0.837
O2 0.250 0.750 0.163
O3 0.750 0.250 0.163
Tc1 0.500 0.000 0.000
Rb1 0.500 0.500 0.500
O4 0.250 0.750 0.837
O5 0.250 0.250 0.163
O6 0.750 0.750 0.163
Tc2 0.000 0.500 0.000
O7 0.750 0.750 0.837
O8 0.250 0.250 0.837

=====

[6]
Density functional theory data (GGA-PBE) for a relaxed K3Ni crystal.

## Properties
- E_form (kJ/mol of atoms) = 50.8
- magnetization (Bohr magnetons per cell) = 0.42
- polymorph energy (0 for the lowest one) (eV/atom) = 0.0123

Unit cell a=4.343 b=11.288 c=7.963 alpha=90.00 beta=90.00 gamma=90.00
Sites, in units of the cell vectors:
Ni1 0.000 0.690 0.000
K1 0.000 0.175 0.263
K2 0.500 0.478 0.000
K3 0.000 0.522 0.500
Ni2 0.500 0.310 0.500
K4 0.500 0.825 0.763
K5 0.000 0.175 0.737
K6 0.500 0.825 0.237

=====

[7]
Density functional theory data (GGA-PBE) for a relaxed ZnCd2Br crystal.

## Properties
- formation energy from raw total energies (meV per atom) = -62
- magnetization (Bohr magnetons per cell) = 0.00
- polymorph energy (0 for the lowest one) (eV/atom) = 0.0840

Unit cell a=3.655 b=3.655 c=8.662 alpha=90.00 beta=90.00 gamma=117.88
Sites, in units of the cell vectors:
Br1 0.500 0.500 0.720
Zn1 0.000 0.000 0.502
Cd1 0.000 0.000 0.008
Cd2 0.500 0.500 0.270

=====

[8]
Density functional theory data (GGA-PBE) for a relaxed PmCd5Pd6 crystal.

## Properties
- E_form (kJ/mol of atoms) = -46.0
- magnetization (Bohr magnetons per cell) = 0.00

Unit cell a=8.575 b=4.477 c=7.085 alpha=71.58 beta=80.56 gamma=58.73
Sites, in units of the cell vectors:
Pm1 0.000 0.000 0.000
Pd1 0.743 0.427 0.661
Pd2 0.743 0.088 0.339
Cd1 0.500 0.500 0.000
Pd3 0.255 0.246 0.000
Pd4 0.745 0.754 0.000
Cd2 0.500 0.164 0.672
Cd3 0.000 0.327 0.345
Cd4 0.500 0.836 0.328
Pd5 0.257 0.912 0.661
Cd5 0.000 0.673 0.655
Pd6 0.257 0.573 0.339